Density functional theory data (GGA-PBE) for KZrO2F after structural relaxation.

Summary:
Energy relative to the elements, uncorrected in eV/atom: -2.962

Cell: 4.1685 4.1685 4.3742 Å, 90.00 90.00 90.00°
Closest atoms and distances in Å follow each position.
Space group P4/mmm (No. 123)
One atom of each set of equivalent atoms:
K 0.0000 0.0000 0.0000 [1 per cell]  4 F 2.95, 8 O 3.02
Zr 0.5000 0.5000 0.5000 [1 per cell]  4 O 2.08, 2 F 2.19
O 0.0000 0.5000 0.5000 [2 per cell]  2 Zr 2.08
F 0.5000 0.5000 0.0000 [1 per cell]  2 Zr 2.19

---

Density functional theory data (GGA-PBE) for SrLa2As after structural relaxation.

Summary:
Formation energy in eV/atom: -0.544

Cell: 4.1657 4.1657 30.8532 Å, 90.00 90.00 120.00°
Closest atoms and distances in Å follow each position.
Space group R3m (No. 160, hexagonal axes)
One atom of each set of equivalent atoms:
Sr 0.0000 0.0000 0.0000 [3 per cell]  3 As 3.07
La 0.0000 0.0000 0.2158 [3 per cell]  9 La 3.86-4.17
La 0.0000 0.0000 0.4512 [3 per cell]  3 As 2.96
As 0.0000 0.0000 0.7285 [3 per cell]  3 La 2.96, 3 Sr 3.07